The following is a DFT calculation (PBE) of an optimized crystal structure of NdZrSc2.

The structure in POSCAR format:
```
NdZrSc2
1.0
4.618 0.000 0.000
0.000 4.745 0.000
0.000 0.000 4.745
Sc Zr Nd
2 1 1
direct
0.000 0.000 0.500 Sc
0.000 0.500 0.000 Sc
0.500 0.000 0.000 Zr
0.500 0.500 0.500 Nd
```

SG	No. 123
energy above the lowest structure with this stoichiometry	16.2	meV per atom
E_form	0.089	eV per atom